K2BaTc: optimized geometry, PBE-GGA.

Results
- excess energy over the best structure of this formula in the dataset (eV/f.u.) = 0.015
- total magnetization (μB per formula unit) = 2.6
- DFT formation energy (eV per atom) = 0.8778
- Fermi-level density of states (states/eV per cell) = 8.19
- crystal system = orthorhombic
- ρ (g/cm³) = 2.76

Lattice parameters (Å, degrees): 5.6522 5.6701 11.7689 90.00 90.00 90.00
Closest atoms and distances in Å follow each position.
Space group Cmm2 (No. 35)
Asymmetric unit:
K 0.0000 0.0000 0.0000  4 K 4.00
K 0.0000 0.5000 0.3374  4 Tc 3.64-3.65, 4 K 4.00, 1 Ba 4.04
Ba 0.0000 0.5000 0.6806  4 Tc 3.32-3.33
Tc 0.0000 0.0000 0.5323  4 Ba 3.32-3.33, 4 K 3.64-3.65

---

Sm3Er2PuSe6: optimized geometry, PBE-GGA.

Results
- total magnetization (μB per formula unit) = 6.0
- Fermi-level density of states (states/eV per cell) = 17.61
- energy relative to the elements, uncorrected (meV per atom) = -1749.8
- crystal system = monoclinic
- ρ (g/cm³) = 8.40

Lattice parameters (Å, degrees): 18.0075 4.0915 8.2976 90.00 103.67 90.00
Closest atoms and distances in Å follow each position.
Space group C2/m (No. 12)
Asymmetric unit:
Sm 0.0000 0.0000 0.0000  6 Se 2.93-2.99
Sm 0.1642 0.5000 0.3347  6 Se 2.92-2.99
Er 0.1636 0.5000 0.8279  6 Se 2.81-2.90
Pu 0.0000 0.0000 0.5000  6 Se 2.90-2.93
Se 0.0028 0.5000 0.7494  1 Er 2.81, 2 Pu 2.90, 3 Sm 2.92-2.93
Se 0.1674 0.0000 0.5919  2 Er 2.84, 1 Pu 2.93, 3 Sm 2.95
Se 0.1708 0.0000 0.0762  3 Er 2.88-2.90, 3 Sm 2.99

---

K4Cd5P6: optimized geometry, PBE-GGA.

Results
- total magnetization (μB per formula unit) = 0.0
- DFT formation energy (eV per atom) = -0.2346
- Fermi-level density of states (states/eV per cell) = 24.06
- crystal system = orthorhombic
- ρ (g/cm³) = 3.75

Lattice parameters (Å, degrees): 4.4303 20.2392 17.8604 90.00 90.00 90.00
Closest atoms and distances in Å follow each position.
Space group Cmcm (No. 63)
Asymmetric unit:
K 0.0000 0.0006 0.1233  6 P 3.22-3.36, 5 Cd 3.43-3.51
K 0.0000 0.1815 0.5694  6 P 3.34-3.62
Cd 0.0000 0.1279 0.2500  4 P 2.65-2.74
Cd 0.0000 0.2754 0.2500  4 P 2.70-2.81, 1 Cd 2.99
Cd 0.0000 0.3650 0.6151  4 P 2.62-2.90
Cd 0.0000 0.4283 0.2500  3 P 2.58-2.60
P 0.0000 0.1391 0.7500  4 Cd 2.60-2.81
P 0.0000 0.2034 0.1230  4 Cd 2.62-2.74
P 0.0000 0.4443 0.7500  3 Cd 2.58-2.65
P 0.0000 0.4487 0.0062  1 P 2.09

---

Dy2ThAl: optimized geometry, PBE-GGA.

Results
- excess energy over the best structure of this formula in the dataset (eV/f.u.) = 0.164
- total magnetization (μB per formula unit) = 0.0
- DFT formation energy (eV per atom) = -0.1422
- Fermi-level density of states (states/eV per cell) = 5.66
- crystal system = tetragonal
- ρ (g/cm³) = 8.81

Lattice parameters (Å, degrees): 4.7970 4.7970 4.7846 90.00 90.00 90.00
Closest atoms and distances in Å follow each position.
Space group P4/mmm (No. 123)
Asymmetric unit:
Dy 0.0000 0.5000 0.0000  4 Al 3.39, 4 Th 3.39, 4 Dy 3.39
Th 0.0000 0.0000 0.5000  8 Dy 3.39, 4 Al 3.39
Al 0.5000 0.5000 0.5000  8 Dy 3.39, 4 Th 3.39

---

InIr2Pt: optimized geometry, PBE-GGA.

Results
- total magnetization (μB per formula unit) = 0.0
- DFT formation energy (eV per atom) = 0.1824
- Fermi-level density of states (states/eV per cell) = 4.92
- crystal system = tetragonal
- ρ (g/cm³) = 17.57

Lattice parameters (Å, degrees): 3.3593 3.3593 5.8151 90.00 90.00 90.00
Closest atoms and distances in Å follow each position.
Space group P4/mmm (No. 123)
Asymmetric unit:
In 0.0000 0.0000 0.0000  8 Ir 2.84, 2 Pt 2.91
Ir 0.5000 0.5000 0.2673  1 Ir 2.71, 4 Pt 2.73, 4 In 2.84
Pt 0.0000 0.0000 0.5000  8 Ir 2.73, 2 In 2.91

---

NaV2Sn2: optimized geometry, PBE-GGA.

Results
- excess energy over the best structure of this formula in the dataset (eV/f.u.) = 0.000
- total magnetization (μB per formula unit) = 0.0
- DFT formation energy (eV per atom) = 0.1168
- Fermi-level density of states (states/eV per cell) = 10.14
- crystal system = tetragonal
- ρ (g/cm³) = 6.08

Lattice parameters (Å, degrees): 8.2175 8.2175 2.9315 90.00 90.00 90.00
Closest atoms and distances in Å follow each position.
Space group P4/mbm (No. 127)
Asymmetric unit:
Na 0.0000 0.0000 0.0000  2 Na 2.93
V 0.1032 0.3968 0.0000  1 V 2.40
Sn 0.1851 0.6851 0.5000  6 V 2.86-2.87, 2 Sn 2.93

---

AcLa2Ta: optimized geometry, PBE-GGA.

Results
- total magnetization (μB per formula unit) = 0.0
- DFT formation energy (eV per atom) = 0.7656
- Fermi-level density of states (states/eV per cell) = 21.88
- crystal system = trigonal
- ρ (g/cm³) = 8.91

Lattice parameters (Å, degrees): 3.4355 3.4355 37.5038 90.00 90.00 120.00
Closest atoms and distances in Å follow each position.
Space group R-3m (No. 166, hexagonal axes)
Asymmetric unit:
Ac 0.0000 0.0000 0.0000  6 Ac 3.44
La 0.0000 0.0000 0.4226  1 Ta 2.90
Ta 0.0000 0.0000 0.5000  2 La 2.90

---

In4GaBi: optimized geometry, PBE-GGA.

Results
- excess energy over the best structure of this formula in the dataset (eV/f.u.) = 0.007
- total magnetization (μB per formula unit) = 0.0
- DFT formation energy (eV per atom) = 0.0565
- Fermi-level density of states (states/eV per cell) = 9.32
- crystal system = monoclinic
- ρ (g/cm³) = 7.26

Lattice parameters (Å, degrees): 16.3226 8.1983 5.3164 90.00 108.41 90.00
Closest atoms and distances in Å follow each position.
Space group C2/m (No. 12)
Asymmetric unit:
In 0.0000 0.1800 0.0000  1 In 2.95, 2 Ga 2.96
In 0.1297 0.2283 0.6273  2 Ga 3.24-3.30, 5 In 3.35-3.59, 3 Bi 3.41-3.45
In 0.1777 0.5000 0.1850  2 Ga 3.07-3.08, 2 Bi 3.22-3.24
Ga 0.0025 0.5000 0.7461  2 Ga 2.59-2.73
Bi 0.2035 0.0000 0.1973  10 In 3.22-3.48

---

Ac4Pt2I5: optimized geometry, PBE-GGA.

Results
- excess energy over the best structure of this formula in the dataset (eV/f.u.) = 0.000
- total magnetization (μB per formula unit) = 0.0
- Fermi-level density of states (states/eV per cell) = 11.95
- energy relative to the elements, uncorrected (meV per atom) = -1186.9
- crystal system = orthorhombic
- ρ (g/cm³) = 5.47

Lattice parameters (Å, degrees): 4.3763 9.3742 28.6177 90.00 90.00 90.00
Closest atoms and distances in Å follow each position.
Space group Immm (No. 71)
Asymmetric unit:
Ac 0.0000 0.0000 0.1452  1 Pt 2.82
Ac 0.0000 0.3031 0.5000  4 Pt 3.16
Pt 0.0000 0.0000 0.0467  1 Pt 2.67, 1 Ac 2.82
I 0.0000 0.2532 0.3257  2 Ac 3.29
I 0.0000 0.5000 0.0000  4 Ac 3.59

---

ScMn2Al5Fe: optimized geometry, PBE-GGA.

Results
- total magnetization (μB per formula unit) = 6.5
- DFT formation energy (eV per atom) = 0.0613
- Fermi-level density of states (states/eV per cell) = 11.56
- crystal system = orthorhombic
- ρ (g/cm³) = 3.72

Lattice parameters (Å, degrees): 4.3493 5.6544 12.5387 90.00 90.00 90.00
Closest atoms and distances in Å follow each position.
Space group Immm (No. 71)
Asymmetric unit:
Sc 0.0000 0.0000 0.0000  2 Al 2.83
Mn 0.0000 0.5000 0.1882  3 Al 2.36-2.45
Al 0.0000 0.2553 0.3490  1 Fe 2.38, 3 Mn 2.45-2.65
Al 0.0000 0.5000 0.0000  2 Fe 2.17, 2 Mn 2.36
Fe 0.0000 0.0000 0.5000  6 Al 2.17-2.38

---

KTc2As: optimized geometry, PBE-GGA.

Results
- total magnetization (μB per formula unit) = 0.0
- DFT formation energy (eV per atom) = 0.7719
- Fermi-level density of states (states/eV per cell) = 7.73
- crystal system = orthorhombic
- ρ (g/cm³) = 6.88

Lattice parameters (Å, degrees): 2.8024 5.2315 10.2135 90.00 90.00 90.00
Closest atoms and distances in Å follow each position.
Space group Immm (No. 71)
Asymmetric unit:
K 0.0000 0.0000 0.0000  2 K 2.80, 4 As 2.97
Tc 0.0000 0.5000 0.2030  2 As 2.50, 2 Tc 2.80
As 0.0000 0.0000 0.5000  4 Tc 2.50, 2 As 2.80

---

CaHo14Tm: optimized geometry, PBE-GGA.

Results
- total magnetization (μB per formula unit) = 0.0
- DFT formation energy (eV per atom) = 0.0259
- Fermi-level density of states (states/eV per cell) = 52.39
- crystal system = orthorhombic
- ρ (g/cm³) = 8.25

Lattice parameters (Å, degrees): 11.2202 7.2253 12.5091 90.00 90.00 90.00
Closest atoms and distances in Å follow each position.
Space group Amm2 (No. 38)
Asymmetric unit:
Ca 0.0000 0.0000 0.0000  10 Ho 3.54-3.61, 2 Tm 3.61
Ho 0.0000 0.2504 0.2497  8 Ho 3.46-3.62, 2 Tm 3.60-3.62, 2 Ca 3.61
Ho 0.2468 0.0000 0.6668  11 Ho 3.46-3.61, 1 Tm 3.46
Ho 0.2539 0.0000 0.1690  11 Ho 3.45-3.66, 1 Ca 3.55
Ho 0.2537 0.2467 0.4158  10 Ho 3.45-3.66, 1 Tm 3.52, 1 Ca 3.54
Ho 0.5000 0.0000 0.0003  12 Ho 3.47-3.61
Ho 0.5000 0.0000 0.5003  12 Ho 3.45-3.61
Ho 0.5000 0.2500 0.2503  12 Ho 3.45-3.61
Tm 0.0000 0.0000 0.5004  10 Ho 3.46-3.62, 2 Ca 3.61

---

The highest total magnetization belongs to which entry?
ScMn2Al5Fe